No. 1
! HgSbAu2 (PBE, optimized geometry); values from VASP
! Space group: Cmm2 (35)
! E (eV/atom): -2.616
! Distance to the lowest polymorph of the same formula (meV per atom): 106
! Spin magnetization (μB/cell): 0.00
&SYSTEM
  ibrav = 0, nat = 4, ntyp = 3
/
ATOMIC_SPECIES
Au 196.97 Au.upf
Hg 200.59 Hg.upf
Sb 121.76 Sb.upf
CELL_PARAMETERS angstrom
-0.8548 3.0299 -0.2132
-1.1921 -0.5543 -2.8685
-7.8409 -1.9562 3.6367
ATOMIC_POSITIONS angstrom
Au -0.1237 -0.0309 0.0574
Au -2.8428 0.7839 -0.6970
Hg -3.6794 -0.9180 1.7066
Sb -7.1624 -0.2938 1.3065

=====

No. 2
! KAg2Au (PBE, optimized geometry); values from VASP
! Space group: P4/mmm (123)
! E (eV/atom): -2.410
! Distance to the lowest polymorph of the same formula (meV per atom): 214
! Spin magnetization (μB/cell): 0.00
&SYSTEM
  ibrav = 0, nat = 4, ntyp = 3
/
ATOMIC_SPECIES
Ag 107.87 Ag.upf
Au 196.97 Au.upf
K 39.10 K.upf
CELL_PARAMETERS angstrom
-3.1497 1.4207 0.9211
-0.2257 -2.2807 2.7450
3.5677 5.0169 4.4616
ATOMIC_POSITIONS angstrom
Ag 0.2400 0.3375 0.3002
Ag 1.5438 2.1709 1.9306
Au -0.7958 0.8243 2.9485
K 0.9881 3.3327 5.1793